## KCr2CoO8 (PBE+U)

Data for an optimized crystal structure of KCr2CoO8.

Cell: 5.0747 5.0747 7.8205 Å, 90.00 90.00 120.00°
Last column: nearest neighbours and their distance in Å.
Fractional positions:
K 0.0000 0.0000 0.0000  12 O 3.00-3.17
Cr 0.6667 0.3333 0.2915  4 O 1.63-1.68
Cr 0.3333 0.6667 0.7085  4 O 1.63-1.68
Co 0.0000 0.0000 0.5000  6 O 1.89
O 0.3333 0.6667 0.9173  1 Cr 1.63
O 0.3229 0.2689 0.3554  1 Cr 1.68
O 0.7311 0.0540 0.3554  1 Cr 1.68
O 0.6667 0.3333 0.0827  1 Cr 1.63
O 0.2689 0.9460 0.6446  1 Cr 1.68
O 0.6771 0.7311 0.6446  1 Cr 1.68
O 0.0540 0.3229 0.6446  1 Cr 1.68
O 0.9460 0.6771 0.3554  1 Cr 1.68

## Properties
uncorrected energy	-75.65	eV for the cell shown
mass density	3.14	g/cm3
space-group type	No. 147